# Cd2CuTc, optimized geometry, DFT PBEsol
data_Cd2CuTc
_chemical_formula_sum 'Cd4 Cu2 Tc2'
_cell_length_a 9.622
_cell_length_b 2.744
_cell_length_c 4.966
_cell_angle_alpha 90.00
_cell_angle_beta 104.45
_cell_angle_gamma 90.00
_space_group_name_H-M_alt 'C 1 2/m 1'
_space_group_IT_number 12
_space_group_name_Hall '-C 2y'
loop_
_atom_site_label
_atom_site_type_symbol
_atom_site_fract_x
_atom_site_fract_y
_atom_site_fract_z
_atom_site_occupancy
Cd1 Cd 0.238 0.000 0.244 1
Cu1 Cu 0.000 0.500 0.000 1
Tc1 Tc 0.000 0.000 0.500 1
# Calculated volume = 15.87 A^3/atom
# D(E_F) = 3.35 states/eV/cell
# M_tot = 0.000 μB per formula unit
# E above lowest polymorph = 27 meV per atom